DFT (PBE) results for CaPm3Cd2 after structural relaxation.

a b c (Å): 16.3198 5.5372 9.2914
angles (deg): 90.00 117.84 90.00
Space group C2/m (No. 12)
Asymmetric unit:
Ca: 0.1355 0.0000 0.1874 x4
Pm: 0.0601 0.0000 0.7159 x4
Pm: 0.1180 0.5000 0.5423 x4
Pm: 0.1902 0.5000 0.9999 x4
Cd: 0.0261 0.5000 0.1691 x4
Cd: 0.2332 0.0000 0.6033 x4

Output
**Total magnetic moment**: 0.0 μB per formula unit
**Energy relative to the lowest polymorph listed for this composition**: 61 meV/atom
**Theoretical density**: 6.261 g/cm³
**Energy of formation from the pure elements**: -0.143 eV per atom



DFT (PBE) results for LaPmTm3Th after structural relaxation.

a b c (Å): 23.2043 5.7146 6.2276
angles (deg): 90.00 105.54 90.00
Space group C2/m (No. 12)
Asymmetric unit:
La: 0.1291 0.0000 0.3139 x4
Pm: 0.2078 0.0000 0.8748 x4
Tm: 0.0430 0.0000 0.7494 x4
Tm: 0.1281 0.5000 0.9574 x4
Tm: 0.2095 0.5000 0.5372 x4
Th: 0.0502 0.5000 0.3728 x4

Output
**Total magnetic moment**: 0.0 μB per formula unit
**Theoretical density**: 8.538 g/cm³
**Energy of formation from the pure elements**: 0.086 eV per atom